P | ## MnCoTeS (GGA-PBE)

Data for an optimized crystal structure of MnCoTeS.

Output
Theoretical density, g cm⁻³: 5.42
Space group: R3m

Unit cell a=6.754 b=6.754 c=6.754 alpha=33.56 beta=33.56 gamma=33.56
Element x y z (fractional)
Mn (0.000, 0.000, 0.000)
Co (0.401, 0.401, 0.401)
Te (0.784, 0.784, 0.784)
S (0.287, 0.287, 0.287)

---

Q | ## MnCoTeS (GGA-PBE)

Data for an optimized crystal structure of MnCoTeS.

Output
Theoretical density, g cm⁻³: 6.69
Space group: R3m

Unit cell a=6.245 b=6.245 c=6.245 alpha=34.00 beta=34.00 gamma=34.00
Element x y z (fractional)
Mn (0.000, 0.000, 0.000)
Co (0.442, 0.442, 0.442)
Te (0.228, 0.228, 0.228)
S (0.737, 0.737, 0.737)

---

R | ## MnCoTeS (GGA-PBE)

Data for an optimized crystal structure of MnCoTeS.

Output
Theoretical density, g cm⁻³: 5.78
Space group: Cm

Unit cell a=3.913 b=3.913 c=6.319 alpha=107.88 beta=107.88 gamma=60.41
Element x y z (fractional)
Mn (0.000, 0.000, 0.000)
Co (0.158, 0.158, 0.468)
Te (0.774, 0.774, 0.319)
S (0.280, 0.280, 0.835)

---

S | ## MnCoTeS (GGA-PBE)

Data for an optimized crystal structure of MnCoTeS.

Output
Theoretical density, g cm⁻³: 5.21
Space group: P3m1

Unit cell a=3.871 b=3.871 c=6.724 alpha=90.00 beta=90.00 gamma=120.00
Element x y z (fractional)
Mn (0.000, 0.000, 0.000)
Co (0.667, 0.333, 0.222)
Te (0.000, 0.000, 0.390)
S (0.667, 0.333, 0.899)

---

Most stable of them? S.

---

P | ## Mn2Co2Sb (GGA-PBE)

Data for an optimized crystal structure of Mn2Co2Sb.

Output
Theoretical density, g cm⁻³: 8.55
Space group: I4/mmm

Unit cell a=5.561 b=5.561 c=5.561 alpha=140.90 beta=140.90 gamma=56.49
Element x y z (fractional)
Mn (0.107, 0.107, 0.000)
Mn (0.893, 0.893, 0.000)
Co (0.250, 0.750, 0.500)
Co (0.750, 0.250, 0.500)
Sb (0.500, 0.500, 0.000)

---

Q | ## Mn2Co2Sb (GGA-PBE)

Data for an optimized crystal structure of Mn2Co2Sb.

Output
Theoretical density, g cm⁻³: 8.12
Space group: P4/mbm

Unit cell a=7.010 b=7.010 c=2.908 alpha=90.00 beta=90.00 gamma=90.00
Element x y z (fractional)
Mn (0.138, 0.362, 0.000)
Mn (0.362, 0.862, 0.000)
Mn (0.638, 0.138, 0.000)
Mn (0.862, 0.638, 0.000)
Co (0.148, 0.648, 0.500)
Co (0.352, 0.148, 0.500)
Co (0.648, 0.852, 0.500)
Co (0.852, 0.352, 0.500)
Sb (0.000, 0.000, 0.000)
Sb (0.500, 0.500, 0.000)

---

Most stable of them? Q.

---

P | ## MnCoSbTe2 (GGA-PBE)

Data for an optimized crystal structure of MnCoSbTe2.

Output
Theoretical density, g cm⁻³: 6.75
Space group: P4/mmm

Unit cell a=5.058 b=5.058 c=4.722 alpha=90.00 beta=90.00 gamma=90.00
Element x y z (fractional)
Mn (0.000, 0.000, 0.000)
Co (0.500, 0.500, 0.500)
Sb (0.500, 0.500, 0.000)
Te (0.000, 0.500, 0.500)
Te (0.500, 0.000, 0.500)

---

Q | ## MnCoSbTe2 (GGA-PBE)

Data for an optimized crystal structure of MnCoSbTe2.

Output
Theoretical density, g cm⁻³: 6.59
Space group: P4/mmm

Unit cell a=5.041 b=5.041 c=4.867 alpha=90.00 beta=90.00 gamma=90.00
Element x y z (fractional)
Mn (0.000, 0.000, 0.000)
Co (0.500, 0.500, 0.500)
Sb (0.000, 0.000, 0.500)
Te (0.000, 0.500, 0.000)
Te (0.500, 0.000, 0.000)

---

Most stable of them? Q.

---

P | ## MnCoSb2Te (GGA-PBE)

Data for an optimized crystal structure of MnCoSb2Te.

Output
Theoretical density, g cm⁻³: 6.75
Space group: P4/mmm

Unit cell a=4.784 b=4.784 c=5.216 alpha=90.00 beta=90.00 gamma=90.00
Element x y z (fractional)
Mn (0.000, 0.000, 0.000)
Co (0.500, 0.500, 0.500)
Sb (0.000, 0.500, 0.500)
Sb (0.500, 0.000, 0.500)
Te (0.500, 0.500, 0.000)

---

Q | ## MnCoSb2Te (GGA-PBE)

Data for an optimized crystal structure of MnCoSb2Te.

Output
Theoretical density, g cm⁻³: 6.62
Space group: P4/mmm

Unit cell a=4.873 b=4.873 c=5.121 alpha=90.00 beta=90.00 gamma=90.00
Element x y z (fractional)
Mn (0.000, 0.000, 0.000)
Co (0.500, 0.500, 0.500)
Sb (0.000, 0.500, 0.000)
Sb (0.500, 0.000, 0.000)
Te (0.000, 0.000, 0.500)

---

Most stable of them? Q.

---

P | ## ScMn2Co (GGA-PBE)

Data for an optimized crystal structure of ScMn2Co.

Output
Theoretical density, g cm⁻³: 5.99
Space group: R-3m

Unit cell a=8.626 b=8.626 c=8.626 alpha=18.97 beta=18.97 gamma=18.97
Element x y z (fractional)
Sc (0.000, 0.000, 0.000)
Mn (0.241, 0.241, 0.241)
Mn (0.759, 0.759, 0.759)
Co (0.500, 0.500, 0.500)

---

Q | ## ScMn2Co (GGA-PBE)

Data for an optimized crystal structure of ScMn2Co.

Output
Theoretical density, g cm⁻³: 6.42
Space group: Pmmm

Unit cell a=3.146 b=4.126 c=4.261 alpha=90.00 beta=90.00 gamma=90.00
Element x y z (fractional)
Sc (0.000, 0.000, 0.000)
Mn (0.000, 0.500, 0.500)
Mn (0.500, 0.000, 0.500)
Co (0.500, 0.500, 0.000)

---

Most stable of them? Q.

---

P | ## ScMn2Co (GGA-PBE)

Data for an optimized crystal structure of ScMn2Co.

Output
Theoretical density, g cm⁻³: 6.08
Space group: P2/m

Unit cell a=2.831 b=4.104 c=5.183 alpha=90.00 beta=104.17 gamma=90.00
Element x y z (fractional)
Sc (0.000, 0.000, 0.000)
Mn (0.322, 0.500, 0.718)
Mn (0.678, 0.500, 0.282)
Co (0.500, 0.000, 0.500)

---

Q | ## ScMn2Co (GGA-PBE)

Data for an optimized crystal structure of ScMn2Co.

Output
Theoretical density, g cm⁻³: 6.72
Space group: C2/m

Unit cell a=4.962 b=4.962 c=2.685 alpha=101.58 beta=101.58 gamma=119.49
Element x y z (fractional)
Sc (0.000, 0.000, 0.000)
Mn (0.000, 0.500, 0.500)
Mn (0.500, 0.000, 0.500)
Co (0.500, 0.500, 0.000)

---

Most stable of them? P.

---

P | ## ScMn2Co (GGA-PBE)

Data for an optimized crystal structure of ScMn2Co.

Output
Theoretical density, g cm⁻³: 6.49
Space group: P4mm

Unit cell a=2.988 b=2.988 c=6.130 alpha=90.00 beta=90.00 gamma=90.00
Element x y z (fractional)
Sc (0.000, 0.000, 0.000)
Mn (0.000, 0.000, 0.493)
Mn (0.500, 0.500, 0.703)
Co (0.500, 0.500, 0.271)

---

Q | ## ScMn2Co (GGA-PBE)

Data for an optimized crystal structure of ScMn2Co.

Output
Theoretical density, g cm⁻³: 5.71
Space group: I-42d

Unit cell a=5.543 b=5.543 c=5.543 alpha=102.56 beta=102.56 gamma=124.40
Element x y z (fractional)
Sc (0.000, 0.000, 0.000)
Sc (0.750, 0.250, 0.500)
Mn (0.178, 0.125, 0.553)
Mn (0.375, 0.822, 0.947)
Mn (0.572, 0.625, 0.447)
Mn (0.875, 0.428, 0.053)
Co (0.250, 0.750, 0.500)
Co (0.500, 0.500, 0.000)

---

R | ## ScMn2Co (GGA-PBE)

Data for an optimized crystal structure of ScMn2Co.

Output
Theoretical density, g cm⁻³: 6.04
Space group: Imm2

Unit cell a=5.148 b=5.148 c=5.148 alpha=144.84 beta=130.91 gamma=61.82
Element x y z (fractional)
Sc (0.000, 0.000, 0.000)
Mn (0.446, 0.446, 0.000)
Mn (0.723, 0.223, 0.500)
Co (0.239, 0.739, 0.500)

---

Most stable of them? P.

---

P | ## ScMn2Co (GGA-PBE)

Data for an optimized crystal structure of ScMn2Co.

Output
Theoretical density, g cm⁻³: 6.10
Space group: Amm2

Unit cell a=3.873 b=5.344 c=5.344 alpha=31.76 beta=90.00 gamma=90.00
Element x y z (fractional)
Sc (0.000, 0.000, 0.000)
Mn (0.000, 0.739, 0.739)
Mn (0.500, 0.311, 0.311)
Co (0.500, 0.599, 0.599)

---

Q | ## ScMn2Co (GGA-PBE)

Data for an optimized crystal structure of ScMn2Co.

Output
Theoretical density, g cm⁻³: 6.24
Space group: R3m

Unit cell a=8.371 b=8.371 c=8.371 alpha=19.46 beta=19.46 gamma=19.46
Element x y z (fractional)
Sc (0.000, 0.000, 0.000)
Mn (0.503, 0.503, 0.503)
Mn (0.760, 0.760, 0.760)
Co (0.246, 0.246, 0.246)

---

R | ## ScMn2Co (GGA-PBE)

Data for an optimized crystal structure of ScMn2Co.

Output
Theoretical density, g cm⁻³: 5.98
Space group: Immm

Unit cell a=5.199 b=5.199 c=5.199 alpha=145.95 beta=130.40 gamma=61.53
Element x y z (fractional)
Sc (0.000, 0.000, 0.000)
Mn (0.280, 0.780, 0.500)
Mn (0.720, 0.220, 0.500)
Co (0.500, 0.500, 0.000)

---

Most stable of them? R.

---

P | ## ScMn2Co (GGA-PBE)

Data for an optimized crystal structure of ScMn2Co.

Output
Theoretical density, g cm⁻³: 6.25
Space group: Fm-3m

Unit cell a=4.314 b=4.314 c=4.314 alpha=60.00 beta=60.00 gamma=60.00
Element x y z (fractional)
Sc (0.000, 0.000, 0.000)
Mn (0.250, 0.250, 0.250)
Mn (0.750, 0.750, 0.750)
Co (0.500, 0.500, 0.500)

---

Q | ## ScMn2Co (GGA-PBE)

Data for an optimized crystal structure of ScMn2Co.

Output
Theoretical density, g cm⁻³: 6.51
Space group: F-43m

Unit cell a=4.257 b=4.257 c=4.257 alpha=60.00 beta=60.00 gamma=60.00
Element x y z (fractional)
Sc (0.000, 0.000, 0.000)
Mn (0.500, 0.500, 0.500)
Mn (0.750, 0.750, 0.750)
Co (0.250, 0.250, 0.250)

---

R | ## ScMn2Co (GGA-PBE)

Data for an optimized crystal structure of ScMn2Co.

Output
Theoretical density, g cm⁻³: 6.06
Space group: P4/mmm

Unit cell a=2.988 b=2.988 c=6.560 alpha=90.00 beta=90.00 gamma=90.00
Element x y z (fractional)
Sc (0.000, 0.000, 0.000)
Mn (0.500, 0.500, 0.294)
Mn (0.500, 0.500, 0.706)
Co (0.000, 0.000, 0.500)

---

Most stable of them? Q.

---

P | ## ScMnCo (GGA-PBE)

Data for an optimized crystal structure of ScMnCo.

Output
Theoretical density, g cm⁻³: 5.87
Space group: P3m1

Unit cell a=4.183 b=4.183 c=2.968 alpha=90.00 beta=90.00 gamma=120.00
Element x y z (fractional)
Sc (0.000, 0.000, 0.000)
Mn (0.333, 0.667, 0.568)
Co (0.667, 0.333, 0.371)

---

Q | ## ScMnCo (GGA-PBE)

Data for an optimized crystal structure of ScMnCo.

Output
Theoretical density, g cm⁻³: 5.84
Space group: I4mm

Unit cell a=5.241 b=5.241 c=5.241 alpha=145.83 beta=145.83 gamma=49.09
Element x y z (fractional)
Sc (0.000, 0.000, 0.000)
Mn (0.698, 0.698, 0.000)
Co (0.324, 0.324, 0.000)

---

R | ## ScMnCo (GGA-PBE)

Data for an optimized crystal structure of ScMnCo.

Output
Theoretical density, g cm⁻³: 5.15
Space group: F-43m

Unit cell a=4.167 b=4.167 c=4.167 alpha=60.00 beta=60.00 gamma=60.00
Element x y z (fractional)
Sc (0.000, 0.000, 0.000)
Mn (0.500, 0.500, 0.500)
Co (0.750, 0.750, 0.750)

---

S | ## ScMnCo (GGA-PBE)

Data for an optimized crystal structure of ScMnCo.

Output
Theoretical density, g cm⁻³: 5.01
Space group: F-43m

Unit cell a=4.207 b=4.207 c=4.207 alpha=60.00 beta=60.00 gamma=60.00
Element x y z (fractional)
Sc (0.000, 0.000, 0.000)
Mn (0.750, 0.750, 0.750)
Co (0.250, 0.250, 0.250)

---

Most stable of them? Q.

---

P | ## ScMn3Co (GGA-PBE)

Data for an optimized crystal structure of ScMn3Co.

Output
Theoretical density, g cm⁻³: 5.96
Space group: Pm-3m

Unit cell a=4.215 b=4.215 c=4.215 alpha=90.00 beta=90.00 gamma=90.00
Element x y z (fractional)
Sc (0.000, 0.000, 0.000)
Mn (0.000, 0.500, 0.500)
Mn (0.500, 0.000, 0.500)
Mn (0.500, 0.500, 0.000)
Co (0.500, 0.500, 0.500)

---

Q | ## ScMn3Co (GGA-PBE)

Data for an optimized crystal structure of ScMn3Co.

Output
Theoretical density, g cm⁻³: 5.87
Space group: Pm-3m

Unit cell a=4.235 b=4.235 c=4.235 alpha=90.00 beta=90.00 gamma=90.00
Element x y z (fractional)
Sc (0.000, 0.000, 0.000)
Mn (0.000, 0.000, 0.500)
Mn (0.000, 0.500, 0.000)
Mn (0.500, 0.000, 0.000)
Co (0.500, 0.500, 0.500)

---

Most stable of them? P.